1.
VASP calculation (PBE-GGA) on a geometry-optimized Sm8Bi2Rh3 structure.

a = 6.935 Å, b = 8.038 Å, c = 9.125 Å
α = 116.13°, β = 103.66°, γ = 90.00°
Element x y z (fractional)
Sm 0.877 0.589 0.179
Sm 0.123 0.411 0.821
Sm 0.900 0.101 0.202
Sm 0.100 0.899 0.798
Sm 0.605 0.654 0.794
Sm 0.605 0.140 0.794
Sm 0.395 0.860 0.206
Sm 0.395 0.346 0.206
Bi 0.330 0.256 0.511
Bi 0.670 0.744 0.489
Rh 0.500 0.000 0.000
Rh 0.000 0.250 0.000
Rh 0.000 0.750 0.000

Summary:
formation energy from the elements	-0.55	eV/atom
electronic total energy	-74.70	eV for the cell shown
DOS(E_F)	0.59	states/eV/atom
total moment	0.000	μB per atom
crystal system	monoclinic

***

2.
VASP calculation (PBE-GGA) on a geometry-optimized DyHo2TmTl4 structure.

a = 5.344 Å, b = 5.344 Å, c = 9.276 Å
α = 73.26°, β = 73.26°, γ = 60.00°
Element x y z (fractional)
Dy 0.000 0.000 0.000
Ho 0.750 0.750 0.749
Ho 0.250 0.250 0.251
Tm 0.500 0.500 0.500
Tl 0.376 0.376 0.873
Tl 0.875 0.875 0.376
Tl 0.125 0.125 0.624
Tl 0.624 0.624 0.127

Summary:
formation energy from the elements	-0.32	eV/atom
electronic total energy	-30.26	eV for the cell shown
DOS(E_F)	0.80	states/eV/atom
total moment	0.000	μB per atom
crystal system	trigonal

***

3.
VASP calculation (PBE-GGA) on a geometry-optimized TlCoHgPb2 structure.

a = 5.075 Å, b = 5.075 Å, c = 5.207 Å
α = 90.00°, β = 90.00°, γ = 90.00°
Element x y z (fractional)
Pb 0.000 0.500 0.000
Pb 0.500 0.000 0.000
Tl 0.500 0.500 0.500
Co 0.000 0.000 0.000
Hg 0.000 0.000 0.500

Summary:
formation energy from the elements	0.18	eV/atom
electronic total energy	-16.30	eV for the cell shown
DOS(E_F)	0.70	states/eV/atom
total moment	0.074	μB per atom
crystal system	tetragonal
energy above the lowest structure with this stoichiometry	1.3	kJ per mole of atoms

***

4.
VASP calculation (PBE-GGA) on a geometry-optimized La3RuAu structure.

a = 7.955 Å, b = 7.955 Å, c = 6.198 Å
α = 90.00°, β = 90.00°, γ = 132.94°
Element x y z (fractional)
Ru 0.155 0.845 0.250
Ru 0.845 0.155 0.750
Au 0.619 0.381 0.250
Au 0.381 0.619 0.750
La 0.056 0.441 0.250
La 0.559 0.944 0.250
La 0.441 0.056 0.750
La 0.944 0.559 0.750
La 0.000 0.000 0.000
La 0.000 0.000 0.500

Summary:
formation energy from the elements	-0.04	eV/atom
electronic total energy	-55.02	eV for the cell shown
DOS(E_F)	1.40	states/eV/atom
total moment	0.000	μB per atom
crystal system	orthorhombic
energy above the lowest structure with this stoichiometry	43.6	kJ per mole of atoms

***

5.
VASP calculation (PBE-GGA) on a geometry-optimized AlFeRu2 structure.

a = 2.673 Å, b = 2.673 Å, c = 8.516 Å
α = 90.00°, β = 90.00°, γ = 115.79°
Element x y z (fractional)
Ru 0.000 0.000 0.993
Ru 0.500 0.500 0.258
Fe 0.500 0.500 0.745
Al 0.000 0.000 0.504

Summary:
formation energy from the elements	0.11	eV/atom
electronic total energy	-30.31	eV for the cell shown
DOS(E_F)	0.97	states/eV/atom
total moment	0.688	μB per atom
crystal system	orthorhombic

***

6.
VASP calculation (PBE-GGA) on a geometry-optimized TbAsHRu structure.

a = 4.113 Å, b = 4.113 Å, c = 7.220 Å
α = 90.00°, β = 90.00°, γ = 90.00°
Element x y z (fractional)
Tb 0.500 0.000 0.662
Tb 0.000 0.500 0.338
As 0.000 0.500 0.814
As 0.500 0.000 0.186
H 0.000 0.000 0.500
H 0.500 0.500 0.500
Ru 0.500 0.500 0.000
Ru 0.000 0.000 0.000

Summary:
electronic total energy	-50.13	eV for the cell shown
DOS(E_F)	0.60	states/eV/atom
total moment	0.000	μB per atom
crystal system	tetragonal

***

7.
VASP calculation (PBE-GGA) on a geometry-optimized CoNiW3 structure.

a = 4.415 Å, b = 4.415 Å, c = 4.415 Å
α = 90.00°, β = 90.00°, γ = 90.00°
Element x y z (fractional)
Ni 0.500 0.500 0.500
Co 0.000 0.000 0.000
W 0.000 0.500 0.000
W 0.000 0.000 0.500
W 0.500 0.000 0.000

Summary:
formation energy from the elements	1.55	eV/atom
electronic total energy	-44.02	eV for the cell shown
DOS(E_F)	2.01	states/eV/atom
total moment	0.000	μB per atom
crystal system	cubic
energy above the lowest structure with this stoichiometry	0.0	kJ per mole of atoms

***

8.
VASP calculation (PBE-GGA) on a geometry-optimized HfZn2Os2 structure.

a = 3.452 Å, b = 3.452 Å, c = 7.270 Å
α = 76.26°, β = 76.26°, γ = 90.00°
Element x y z (fractional)
Hf 0.000 0.000 0.000
Zn 0.750 0.250 0.500
Zn 0.250 0.750 0.500
Os 0.398 0.398 0.204
Os 0.602 0.602 0.796

Summary:
formation energy from the elements	0.16	eV/atom
electronic total energy	-34.16	eV for the cell shown
DOS(E_F)	1.16	states/eV/atom
total moment	0.000	μB per atom
crystal system	tetragonal

***

Question: total moment of number 4 (La3RuAu)?
Answer: 0.000 μB per atom

***

Question: Which of these has the highest electronic total energy?
Answer: TlCoHgPb2